DyY2Tl3: relaxed, PBE-GGA.

Cell lengths 3.653, 28.756, 6.704 Å; angles 90.00, 90.00, 90.00 degrees
Space group Cmcm (No. 63)
Inequivalent atoms, fractional coordinates:
Dy 0.000 0.169 0.250 (multiplicity 4)
Y 0.000 0.349 0.250 (multiplicity 4)
Y 0.000 0.495 0.750 (multiplicity 4)
Tl 0.000 0.077 0.506 (multiplicity 8)
Tl 0.000 0.242 0.750 (multiplicity 4)

Computed properties:
raw total energy	-104.33	eV/cell
DFT formation energy	-23	kJ per mole of atoms

---

MgP2Pb: relaxed, PBE-GGA.

Cell lengths 4.049, 3.731, 6.179 Å; angles 90.00, 107.75, 90.00 degrees
Space group P2/m (No. 10)
Inequivalent atoms, fractional coordinates:
Mg 0.000 0.000 0.000 (multiplicity 1)
P 0.475 0.500 0.172 (multiplicity 2)
Pb 0.000 0.000 0.500 (multiplicity 1)

Computed properties:
raw total energy	-16.20	eV/cell
DFT formation energy	-2	kJ per mole of atoms

---

LaMnAlFe2: relaxed, PBE-GGA.

Cell lengths 4.568, 4.568, 5.516 Å; angles 90.00, 90.00, 90.00 degrees
Space group P4/mmm (No. 123)
Inequivalent atoms, fractional coordinates:
La 0.000 0.000 0.000 (multiplicity 1)
Mn 0.500 0.500 0.000 (multiplicity 1)
Al 0.000 0.000 0.500 (multiplicity 1)
Fe 0.000 0.500 0.500 (multiplicity 2)

Computed properties:
raw total energy	-29.37	eV/cell
DFT formation energy	104	kJ per mole of atoms

---

Li2Ti2P3O12: relaxed, PBE-GGA.

Cell lengths 12.189, 8.696, 8.760 Å; angles 90.00, 90.00, 90.00 degrees
Space group Pbcn (No. 60)
Inequivalent atoms, fractional coordinates:
Li 0.184 0.215 0.223 (multiplicity 8)
Ti 0.111 0.253 0.537 (multiplicity 8)
P 0.000 0.460 0.250 (multiplicity 4)
P 0.147 0.106 0.895 (multiplicity 8)
O 0.030 0.157 0.942 (multiplicity 8)
O 0.067 0.441 0.638 (multiplicity 8)
O 0.082 0.354 0.335 (multiplicity 8)
O 0.155 0.072 0.395 (multiplicity 8)
O 0.175 0.166 0.733 (multiplicity 8)
O 0.228 0.174 0.013 (multiplicity 8)

Computed properties:
E_form (uncorrected)	-2.530	eV/atom
raw total energy	-573.63	eV/cell

---

La2Pm6Pr3Ho: relaxed, PBE-GGA.

Cell lengths 6.367, 11.026, 12.187 Å; angles 90.00, 100.09, 90.00 degrees
Space group C2/m (No. 12)
Inequivalent atoms, fractional coordinates:
La 0.000 0.167 0.000 (multiplicity 4)
Pm 0.249 0.334 0.249 (multiplicity 8)
Pm 0.249 0.500 0.751 (multiplicity 4)
Pr 0.000 0.000 0.500 (multiplicity 2)
Pr 0.000 0.334 0.500 (multiplicity 4)
Ho 0.000 0.500 0.000 (multiplicity 2)

Computed properties:
raw total energy	-114.17	eV/cell
DFT formation energy	2	kJ per mole of atoms

---

NaHCl: relaxed, PBE-GGA.

Cell lengths 8.348, 3.896, 7.892 Å; angles 90.00, 98.82, 90.00 degrees
Space group P2_1/c (No. 14)
Inequivalent atoms, fractional coordinates:
Na 0.163 0.250 0.402 (multiplicity 4)
H 0.477 0.541 0.033 (multiplicity 4)
Cl 0.179 0.749 0.655 (multiplicity 4)

Computed properties:
raw total energy	-40.19	eV/cell

---

K2AlCd: relaxed, PBE-GGA.

Cell lengths 11.449, 3.447, 7.487 Å; angles 90.00, 96.08, 90.00 degrees
Space group C2/m (No. 12)
Inequivalent atoms, fractional coordinates:
K 0.249 0.000 0.244 (multiplicity 4)
Al 0.000 0.500 0.000 (multiplicity 2)
Cd 0.000 0.000 0.500 (multiplicity 2)

Computed properties:
raw total energy	-10.91	eV/cell
DFT formation energy	34	kJ per mole of atoms

---

PmPuCdIn: relaxed, PBE-GGA.

Cell lengths 7.647, 7.647, 7.647 Å; angles 90.00, 90.00, 90.00 degrees
Space group F-43m (No. 216)
Inequivalent atoms, fractional coordinates:
Pm 0.000 0.000 0.000 (multiplicity 4)
Pu 0.000 0.000 0.500 (multiplicity 4)
Cd 0.250 0.250 0.750 (multiplicity 4)
In 0.250 0.250 0.250 (multiplicity 4)

Computed properties:
raw total energy	-94.18	eV/cell
DFT formation energy	-20	kJ per mole of atoms

---

CoPb2Cl: relaxed, PBE-GGA.

Cell lengths 14.793, 3.320, 4.205 Å; angles 90.00, 90.26, 90.00 degrees
Space group Cm (No. 8)
Inequivalent atoms, fractional coordinates:
Co 0.000 0.000 0.000 (multiplicity 2)
Pb 0.033 0.500 0.500 (multiplicity 2)
Pb 0.345 0.000 0.997 (multiplicity 2)
Cl 0.238 0.500 0.495 (multiplicity 2)

Computed properties:
E_form (uncorrected)	0.074	eV/atom
raw total energy	-32.14	eV/cell

---

Cu2BiPd: relaxed, PBE-GGA.

Cell lengths 4.126, 4.126, 3.932 Å; angles 90.00, 90.00, 90.00 degrees
Space group P4/mmm (No. 123)
Inequivalent atoms, fractional coordinates:
Cu 0.000 0.500 0.000 (multiplicity 2)
Bi 0.000 0.000 0.500 (multiplicity 1)
Pd 0.500 0.500 0.500 (multiplicity 1)

Computed properties:
raw total energy	-17.03	eV/cell
DFT formation energy	6	kJ per mole of atoms

---

TcPW2: relaxed, PBE-GGA.

Cell lengths 2.869, 4.094, 5.059 Å; angles 90.00, 94.72, 90.00 degrees
Space group P2/m (No. 10)
Inequivalent atoms, fractional coordinates:
Tc 0.000 0.000 0.000 (multiplicity 1)
P 0.000 0.000 0.500 (multiplicity 1)
W 0.451 0.500 0.743 (multiplicity 2)

Computed properties:
raw total energy	-41.19	eV/cell
DFT formation energy	12	kJ per mole of atoms

---

Rb3Ge5I12: relaxed, PBE-GGA.

Cell lengths 19.575, 19.575, 19.575 Å; angles 90.00, 90.00, 90.00 degrees
Space group Ia-3d (No. 230)
Inequivalent atoms, fractional coordinates:
Rb 0.000 0.250 0.125 (multiplicity 24)
Ge 0.000 0.000 0.000 (multiplicity 16)
Ge 0.000 0.250 0.375 (multiplicity 24)
I 0.032 0.049 0.644 (multiplicity 96)

Computed properties:
E_form (uncorrected)	-0.555	eV/atom
raw total energy	-445.57	eV/cell

---

SnH2N: relaxed, PBE-GGA.

Cell lengths 5.197, 5.197, 5.197 Å; angles 90.00, 90.00, 90.00 degrees
Space group Fm-3m (No. 225)
Inequivalent atoms, fractional coordinates:
Sn 0.000 0.000 0.000 (multiplicity 4)
H 0.250 0.250 0.250 (multiplicity 8)
N 0.000 0.000 0.500 (multiplicity 4)

Computed properties:
raw total energy	-55.44	eV/cell

---

LuScC2: relaxed, PBE-GGA.

Cell lengths 3.4103, 3.4103, 16.5835 Å; angles 90.00, 90.00, 120.00 degrees
Space group R-3m (No. 166, hexagonal axes)
Inequivalent atoms, fractional coordinates:
Lu 0.0000 0.0000 0.0000 (multiplicity 3)
Sc 0.0000 0.0000 0.5000 (multiplicity 3)
C 0.0000 0.0000 0.2462 (multiplicity 6)

Computed properties:
raw total energy	-89.13	eV/cell
DFT formation energy	-10	kJ per mole of atoms

---

ZrTa3Tc4: relaxed, PBE-GGA.

Cell lengths 3.209, 4.544, 9.084 Å; angles 90.00, 90.00, 90.00 degrees
Space group Pmmm (No. 47)
Inequivalent atoms, fractional coordinates:
Zr 0.000 0.000 0.000 (multiplicity 1)
Ta 0.000 0.000 0.500 (multiplicity 1)
Ta 0.000 0.500 0.252 (multiplicity 2)
Tc 0.500 0.000 0.258 (multiplicity 2)
Tc 0.500 0.500 0.000 (multiplicity 1)
Tc 0.500 0.500 0.500 (multiplicity 1)

Computed properties:
raw total energy	-89.31	eV/cell
DFT formation energy	-45	kJ per mole of atoms

---

Ac2BiAs: relaxed, PBE-GGA.

Cell lengths 4.6969, 4.6969, 23.2351 Å; angles 90.00, 90.00, 120.00 degrees
Space group R-3m (No. 166, hexagonal axes)
Inequivalent atoms, fractional coordinates:
Ac 0.0000 0.0000 0.2438 (multiplicity 6)
Bi 0.0000 0.0000 0.0000 (multiplicity 3)
As 0.0000 0.0000 0.5000 (multiplicity 3)

Computed properties:
raw total energy	-64.92	eV/cell
DFT formation energy	-118	kJ per mole of atoms

---

Pd2SeN: relaxed, PBE-GGA.

Cell lengths 4.875, 4.875, 11.642 Å; angles 90.00, 90.00, 90.00 degrees
Space group I-42d (No. 122)
Inequivalent atoms, fractional coordinates:
Pd 0.142 0.250 0.125 (multiplicity 8)
Se 0.000 0.000 0.500 (multiplicity 4)
N 0.000 0.000 0.000 (multiplicity 4)

Computed properties:
E_form (uncorrected)	0.394	eV/atom
raw total energy	-82.48	eV/cell

---

NaCaN: relaxed, PBE-GGA.

Cell lengths 3.8348, 3.8348, 9.8607 Å; angles 90.00, 90.00, 120.00 degrees
Space group P6_3mc (No. 186)
Inequivalent atoms, fractional coordinates:
Na 0.3333 0.6667 0.0000 (multiplicity 2)
Ca 0.0000 0.0000 0.2922 (multiplicity 2)
N 0.3333 0.6667 0.3712 (multiplicity 2)

Computed properties:
E_form (uncorrected)	-0.221	eV/atom
raw total energy	-24.62	eV/cell

---

K2CrRe: relaxed, PBE-GGA.

Cell lengths 3.060, 3.671, 10.380 Å; angles 90.00, 91.55, 90.00 degrees
Space group Pm (No. 6)
Inequivalent atoms, fractional coordinates:
K 0.000 0.000 0.000 (multiplicity 1)
K 0.436 0.500 0.411 (multiplicity 1)
Cr 0.965 0.000 0.675 (multiplicity 1)
Re 0.471 0.500 0.738 (multiplicity 1)

Computed properties:
raw total energy	-20.82	eV/cell
DFT formation energy	83	kJ per mole of atoms